Model 1:
Entry from Alexandria: Al2TlZn after structural relaxation (GGA-PBE).

Its space-group type is P4/mmm. The value obtained for the mass density is 6.594 Mg/m³.

abc: 3.009 3.009 9.003
angles: 90.00 90.00 90.01
Fractional positions:
Tl 0.500 0.500 0.250
Zn 0.500 0.500 0.750
Al 0.000 0.000 0.958
Al 0.000 0.000 0.542

Model 2:
Entry from Alexandria: Al2TlZn after structural relaxation (GGA-PBE).

Its space-group type is I4/mmm. The value obtained for the mass density is 6.690 Mg/m³.

abc: 5.548 5.548 5.548
angles: 136.33 136.33 63.47
Fractional positions:
Tl 0.250 0.750 0.500
Zn 0.750 0.250 0.500
Al 0.000 0.000 0.000
Al 0.500 0.500 0.000

Model 3:
Entry from Alexandria: Al2TlZn after structural relaxation (GGA-PBE).

Its space-group type is I-4m2. The value obtained for the mass density is 6.693 Mg/m³.

abc: 5.338 5.338 5.338
angles: 132.82 132.82 68.94
Fractional positions:
Tl 0.500 0.500 0.000
Zn 0.750 0.250 0.500
Al 0.000 0.000 0.000
Al 0.250 0.750 0.500

Model 4:
Entry from Alexandria: Al2TlZn after structural relaxation (GGA-PBE).

Its space-group type is F-43m. The value obtained for the mass density is 6.500 Mg/m³.

abc: 4.890 4.890 4.890
angles: 60.00 60.00 60.00
Fractional positions:
Tl 0.500 0.500 0.500
Zn 0.750 0.750 0.750
Al 0.000 0.000 0.000
Al 0.250 0.250 0.250

Most favorable first, least favorable last: model 1, model 2, model 3, model 4

Model 1:
Entry from Alexandria: Al3TlZn after structural relaxation (GGA-PBE).

Its space-group type is Pm-3m. The value obtained for the mass density is 5.039 Mg/m³.

abc: 4.871 4.871 4.871
angles: 90.00 90.00 90.00
Fractional positions:
Tl 0.500 0.500 0.500
Zn 0.000 0.000 0.000
Al 0.000 0.500 0.000
Al 0.000 0.000 0.500
Al 0.500 0.000 0.000

Model 2:
Entry from Alexandria: Al3TlZn after structural relaxation (GGA-PBE).

Its space-group type is Pm-3m. The value obtained for the mass density is 3.866 Mg/m³.

abc: 5.321 5.321 5.321
angles: 90.00 90.00 90.00
Fractional positions:
Tl 0.000 0.000 0.000
Zn 0.500 0.500 0.500
Al 0.000 0.500 0.000
Al 0.000 0.000 0.500
Al 0.500 0.000 0.000

Most favorable first, least favorable last: model 1, model 2

Model 1:
Entry from Alexandria: AlTlZn2 after structural relaxation (GGA-PBE).

Its space-group type is R3m. The value obtained for the mass density is 7.549 Mg/m³.

abc: 9.209 9.209 9.209
angles: 19.97 19.97 19.97
Fractional positions:
Tl 0.749 0.749 0.749
Zn 0.989 0.989 0.989
Zn 0.251 0.251 0.251
Al 0.511 0.511 0.511

Model 2:
Entry from Alexandria: AlTlZn2 after structural relaxation (GGA-PBE).

Its space-group type is P4/mmm. The value obtained for the mass density is 7.587 Mg/m³.

abc: 3.120 3.120 8.145
angles: 90.00 90.00 89.98
Fractional positions:
Tl 0.500 0.500 0.750
Zn 0.000 0.000 0.040
Zn 0.000 0.000 0.460
Al 0.500 0.500 0.250

Most favorable first, least favorable last: model 2, model 1